Entry 1:
A plane-wave DFT calculation with PBE was carried out for Sr2SiC after structural relaxation.

ΔE_f (raw)	0.8367	eV/atom
excess energy over the best structure of this formula in the dataset	0.065	eV per atom

Cell lengths 6.552, 6.552, 6.552 Å; angles 106.35, 106.35, 115.92 degrees
Atoms (fractional coordinates):
Sr  0.064  0.625  0.939
Sr  0.375  0.314  0.439
Sr  0.686  0.125  0.061
Sr  0.875  0.936  0.561
Si  0.250  0.750  0.500
Si  0.500  0.500  0.000
C  0.000  0.000  0.000
C  0.750  0.250  0.500

Entry 2:
A plane-wave DFT calculation with PBE was carried out for CrRe2Hg after structural relaxation.

ΔE_f	0.6510	eV per atom

Cell lengths 4.790, 4.790, 4.790 Å; angles 130.42, 130.42, 72.73 degrees
Atoms (fractional coordinates):
Cr  0.000  0.000  0.000
Re  0.500  0.500  0.000
Re  0.750  0.250  0.500
Hg  0.250  0.750  0.500

Entry 3:
A plane-wave DFT calculation with PBE was carried out for InAgSn after structural relaxation.

ΔE_f	0.0778	eV per atom

Cell lengths 5.697, 5.697, 6.157 Å; angles 90.00, 90.00, 133.20 degrees
Atoms (fractional coordinates):
In  0.000  0.000  0.000
In  0.000  0.000  0.500
Ag  0.371  0.629  0.750
Ag  0.629  0.371  0.250
Sn  0.307  0.693  0.250
Sn  0.693  0.307  0.750

Entry 4:
A plane-wave DFT calculation with PBE was carried out for CaIr2Pt after structural relaxation.

ΔE_f	-0.0897	eV per atom
excess energy over the best structure of this formula in the dataset	0.038	eV per atom

Cell lengths 4.994, 4.994, 5.101 Å; angles 98.87, 98.87, 32.77 degrees
Atoms (fractional coordinates):
Ca  0.000  0.000  0.000
Ir  0.243  0.243  0.715
Ir  0.757  0.757  0.285
Pt  0.500  0.500  0.500

Entry 5:
A plane-wave DFT calculation with PBE was carried out for Pm16Sm7Dy6 after structural relaxation.

ΔE_f	0.2247	eV per atom

Cell lengths 11.321, 11.321, 11.321 Å; angles 60.00, 60.00, 60.00 degrees
Atoms (fractional coordinates):
Pm  0.048  0.651  0.651
Pm  0.125  0.125  0.125
Pm  0.125  0.125  0.624
Pm  0.125  0.624  0.125
Pm  0.349  0.349  0.349
Pm  0.349  0.349  0.952
Pm  0.349  0.952  0.349
Pm  0.376  0.875  0.875
Pm  0.624  0.125  0.125
Pm  0.651  0.048  0.651
Pm  0.651  0.651  0.048
Pm  0.651  0.651  0.651
Pm  0.875  0.376  0.875
Pm  0.875  0.875  0.376
Pm  0.875  0.875  0.875
Pm  0.952  0.349  0.349
Sm  0.000  0.000  0.000
Sm  0.000  0.000  0.500
Sm  0.000  0.500  0.000
Sm  0.000  0.500  0.500
Sm  0.500  0.000  0.000
Sm  0.500  0.000  0.500
Sm  0.500  0.500  0.000
Dy  0.266  0.266  0.734
Dy  0.266  0.734  0.266
Dy  0.266  0.734  0.734
Dy  0.734  0.266  0.266
Dy  0.734  0.266  0.734
Dy  0.734  0.734  0.266